1.
Density functional theory data (PBE) for an optimized crystal structure of KNdGeS4.

a = 6.688 Å, b = 6.777 Å, c = 8.835 Å
α = 90.00°, β = 107.17°, γ = 90.00°
Atoms (fractional coordinates):
K (0.229, 0.000, 0.434)
K (0.771, 0.500, 0.566)
Nd (0.272, 0.018, 0.948)
Nd (0.728, 0.518, 0.052)
Ge (0.275, 0.485, 0.177)
Ge (0.725, 0.985, 0.823)
S (0.075, 0.483, 0.336)
S (0.077, 0.424, 0.930)
S (0.476, 0.755, 0.206)
S (0.480, 0.749, 0.776)
S (0.520, 0.249, 0.224)
S (0.524, 0.255, 0.794)
S (0.923, 0.924, 0.070)
S (0.925, 0.983, 0.664)

Formation energy (no corrections) (eV/atom): -1.264
Density of states at the Fermi level (states/eV/atom): 0.00

---

2.
Density functional theory data (PBE) for an optimized crystal structure of K3Nd3GeS8.

a = 8.875 Å, b = 8.875 Å, c = 8.875 Å
α = 54.63°, β = 54.63°, γ = 54.63°
Atoms (fractional coordinates):
K (0.000, 0.500, 0.500)
K (0.500, 0.000, 0.500)
K (0.500, 0.500, 0.000)
Nd (0.000, 0.000, 0.500)
Nd (0.000, 0.500, 0.000)
Nd (0.500, 0.000, 0.000)
Ge (0.500, 0.500, 0.500)
S (0.236, 0.236, 0.236)
S (0.268, 0.710, 0.710)
S (0.290, 0.290, 0.732)
S (0.290, 0.732, 0.290)
S (0.710, 0.268, 0.710)
S (0.710, 0.710, 0.268)
S (0.732, 0.290, 0.290)
S (0.764, 0.764, 0.764)

Formation energy (no corrections) (eV/atom): -1.446
Density of states at the Fermi level (states/eV/atom): 0.07

---

3.
Density functional theory data (PBE) for an optimized crystal structure of K2NdGeSe4.

a = 8.710 Å, b = 8.710 Å, c = 8.710 Å
α = 121.07°, β = 119.06°, γ = 89.89°
Atoms (fractional coordinates):
K (0.000, 0.000, 0.000)
K (0.500, 0.000, 0.000)
K (0.500, 0.000, 0.500)
K (0.500, 0.500, 0.500)
Nd (0.000, 0.500, 0.500)
Nd (0.500, 0.500, 0.000)
Ge (0.000, 0.000, 0.500)
Ge (0.000, 0.500, 0.000)
Se (0.198, 0.741, 0.457)
Se (0.216, 0.259, 0.957)
Se (0.229, 0.248, 0.519)
Se (0.229, 0.710, 0.981)
Se (0.771, 0.290, 0.019)
Se (0.771, 0.752, 0.481)
Se (0.784, 0.741, 0.043)
Se (0.802, 0.259, 0.543)

Formation energy (no corrections) (eV/atom): -1.079
Density of states at the Fermi level (states/eV/atom): 0.48

---

4.
Density functional theory data (PBE) for an optimized crystal structure of KNdGeSe4.

a = 6.910 Å, b = 7.038 Å, c = 9.213 Å
α = 90.00°, β = 107.30°, γ = 90.00°
Atoms (fractional coordinates):
K (0.247, 0.250, 0.438)
K (0.753, 0.750, 0.562)
Nd (0.269, 0.250, 0.946)
Nd (0.731, 0.750, 0.054)
Ge (0.278, 0.750, 0.178)
Ge (0.722, 0.250, 0.822)
Se (0.076, 0.750, 0.343)
Se (0.078, 0.750, 0.920)
Se (0.491, 0.510, 0.782)
Se (0.491, 0.990, 0.782)
Se (0.509, 0.010, 0.218)
Se (0.509, 0.490, 0.218)
Se (0.922, 0.250, 0.080)
Se (0.924, 0.250, 0.657)

Formation energy (no corrections) (eV/atom): -1.135

---

5.
Density functional theory data (PBE) for an optimized crystal structure of K3Nd3GeSe8.

a = 9.274 Å, b = 9.274 Å, c = 9.274 Å
α = 54.28°, β = 54.28°, γ = 54.28°
Atoms (fractional coordinates):
K (0.000, 0.500, 0.500)
K (0.500, 0.000, 0.500)
K (0.500, 0.500, 0.000)
Nd (0.000, 0.000, 0.500)
Nd (0.000, 0.500, 0.000)
Nd (0.500, 0.000, 0.000)
Ge (0.500, 0.500, 0.500)
Se (0.237, 0.237, 0.237)
Se (0.264, 0.715, 0.715)
Se (0.285, 0.285, 0.736)
Se (0.285, 0.736, 0.285)
Se (0.715, 0.264, 0.715)
Se (0.715, 0.715, 0.264)
Se (0.736, 0.285, 0.285)
Se (0.763, 0.763, 0.763)

Formation energy (no corrections) (eV/atom): -1.357
Density of states at the Fermi level (states/eV/atom): 0.24

---

6.
Density functional theory data (PBE) for an optimized crystal structure of K2NdGeTe4.

a = 9.338 Å, b = 9.338 Å, c = 9.338 Å
α = 122.15°, β = 118.32°, γ = 89.62°
Atoms (fractional coordinates):
K (0.000, 0.000, 0.000)
K (0.500, 0.000, 0.000)
K (0.500, 0.000, 0.500)
K (0.500, 0.500, 0.500)
Nd (0.000, 0.500, 0.500)
Nd (0.500, 0.500, 0.000)
Ge (0.000, 0.000, 0.500)
Ge (0.000, 0.500, 0.000)
Te (0.200, 0.739, 0.461)
Te (0.221, 0.261, 0.961)
Te (0.231, 0.250, 0.519)
Te (0.231, 0.713, 0.981)
Te (0.769, 0.287, 0.019)
Te (0.769, 0.750, 0.481)
Te (0.779, 0.739, 0.039)
Te (0.800, 0.261, 0.539)

Formation energy (no corrections) (eV/atom): -0.831
Density of states at the Fermi level (states/eV/atom): 0.99

---

7.
Density functional theory data (PBE) for an optimized crystal structure of KNiGe3.

a = 5.346 Å, b = 5.346 Å, c = 5.346 Å
α = 90.00°, β = 90.00°, γ = 90.00°
Atoms (fractional coordinates):
K (0.000, 0.000, 0.000)
Ni (0.500, 0.500, 0.500)
Ge (0.000, 0.000, 0.500)
Ge (0.000, 0.500, 0.000)
Ge (0.500, 0.000, 0.000)

Distance to the lowest polymorph of the same formula (eV/atom): 1.825
Density of states at the Fermi level (states/eV/atom): 1.19
DFT formation energy (meV per atom): 2010

---

8.
Density functional theory data (PBE) for an optimized crystal structure of KNi2Ge2.

a = 6.305 Å, b = 6.305 Å, c = 6.305 Å
α = 140.88°, β = 140.88°, γ = 56.52°
Atoms (fractional coordinates):
K (0.000, 0.000, 0.000)
Ni (0.352, 0.352, 0.000)
Ni (0.648, 0.648, 0.000)
Ge (0.250, 0.750, 0.500)
Ge (0.750, 0.250, 0.500)

Distance to the lowest polymorph of the same formula (eV/atom): 0.000
Density of states at the Fermi level (states/eV/atom): 0.57
DFT formation energy (meV per atom): 19

---

9.
Density functional theory data (PBE) for an optimized crystal structure of KNi2Ge2.

a = 7.783 Å, b = 7.783 Å, c = 2.744 Å
α = 90.00°, β = 90.00°, γ = 90.00°
Atoms (fractional coordinates):
K (0.000, 0.000, 0.000)
K (0.500, 0.500, 0.000)
Ni (0.128, 0.372, 0.000)
Ni (0.372, 0.872, 0.000)
Ni (0.628, 0.128, 0.000)
Ni (0.872, 0.628, 0.000)
Ge (0.144, 0.644, 0.500)
Ge (0.356, 0.144, 0.500)
Ge (0.644, 0.856, 0.500)
Ge (0.856, 0.356, 0.500)

Distance to the lowest polymorph of the same formula (eV/atom): 0.017
Density of states at the Fermi level (states/eV/atom): 0.67
DFT formation energy (meV per atom): 36

---

10.
Density functional theory data (PBE) for an optimized crystal structure of K2Ni2Ge.

a = 9.429 Å, b = 9.429 Å, c = 2.701 Å
α = 90.00°, β = 90.00°, γ = 90.00°
Atoms (fractional coordinates):
K (0.134, 0.366, 0.000)
K (0.366, 0.866, 0.000)
K (0.634, 0.134, 0.000)
K (0.866, 0.634, 0.000)
Ni (0.169, 0.669, 0.500)
Ni (0.331, 0.169, 0.500)
Ni (0.669, 0.831, 0.500)
Ni (0.831, 0.331, 0.500)
Ge (0.000, 0.000, 0.000)
Ge (0.500, 0.500, 0.000)

Distance to the lowest polymorph of the same formula (eV/atom): 0.537
Density of states at the Fermi level (states/eV/atom): 1.06
DFT formation energy (meV per atom): 997

---

11.
Density functional theory data (PBE) for an optimized crystal structure of KNi2Ge2.

a = 7.876 Å, b = 7.876 Å, c = 2.707 Å
α = 90.00°, β = 90.00°, γ = 90.00°
Atoms (fractional coordinates):
K (0.000, 0.000, 0.000)
K (0.500, 0.500, 0.000)
Ni (0.139, 0.361, 0.500)
Ni (0.361, 0.861, 0.500)
Ni (0.639, 0.139, 0.500)
Ni (0.861, 0.639, 0.500)
Ge (0.135, 0.635, 0.000)
Ge (0.365, 0.135, 0.000)
Ge (0.635, 0.865, 0.000)
Ge (0.865, 0.365, 0.000)

Distance to the lowest polymorph of the same formula (eV/atom): 0.060
Density of states at the Fermi level (states/eV/atom): 0.82
DFT formation energy (meV per atom): 79

---

12.
Density functional theory data (PBE) for an optimized crystal structure of KNi3Ge.

a = 4.553 Å, b = 4.553 Å, c = 4.553 Å
α = 90.00°, β = 90.00°, γ = 90.00°
Atoms (fractional coordinates):
K (0.000, 0.000, 0.000)
Ni (0.000, 0.500, 0.500)
Ni (0.500, 0.000, 0.500)
Ni (0.500, 0.500, 0.000)
Ge (0.500, 0.500, 0.500)

Distance to the lowest polymorph of the same formula (eV/atom): 0.000
Density of states at the Fermi level (states/eV/atom): 0.64
DFT formation energy (meV per atom): 482